Record 1
# PrTmScIn | Alexandria via LeMat-Bulk | PBE | optimized geometry
data_PrTmScIn
_chemical_formula_sum 'Pr1 Tm1 Sc1 In1'
_cell_length_a 5.3601
_cell_length_b 5.3601
_cell_length_c 5.3601
_cell_angle_alpha 60.00
_cell_angle_beta 60.00
_cell_angle_gamma 60.00
_space_group_name_H-M_alt 'P 1'
_space_group_IT_number 1
_space_group_name_Hall 'P 1'
loop_
_atom_site_label
_atom_site_type_symbol
_atom_site_fract_x
_atom_site_fract_y
_atom_site_fract_z
_atom_site_occupancy
Pr1 Pr 0.0000 0.0000 0.0000 1
Tm1 Tm 0.7500 0.7500 0.7500 1
Sc1 Sc 0.2500 0.2500 0.2500 1
In1 In 0.5000 0.5000 0.5000 1
# - energy above the most stable polymorph in this dataset (eV per atom) = 0.069
# - crystal system = cubic
# - V (A^3/atom) = 27.22
# - magnetization (μB/f.u.) = 2.07
# - formation enthalpy at 0 K (meV/atom) = -81.2

---

Record 2
# MgO | Alexandria via LeMat-Bulk | PBE | optimized geometry
data_MgO
_chemical_formula_sum 'Mg4 O4'
_cell_length_a 6.0446
_cell_length_b 6.0446
_cell_length_c 6.0446
_cell_angle_alpha 94.72
_cell_angle_beta 94.72
_cell_angle_gamma 146.65
_space_group_name_H-M_alt 'P 1'
_space_group_IT_number 1
_space_group_name_Hall 'P 1'
loop_
_atom_site_label
_atom_site_type_symbol
_atom_site_fract_x
_atom_site_fract_y
_atom_site_fract_z
_atom_site_occupancy
Mg1 Mg 0.1227 0.7030 0.8257 1
Mg2 Mg 0.2970 0.1227 0.4198 1
Mg3 Mg 0.7030 0.8773 0.5802 1
Mg4 Mg 0.8773 0.2970 0.1743 1
O1 O 0.1150 0.2912 0.4062 1
O2 O 0.2912 0.8850 0.1762 1
O3 O 0.7088 0.1150 0.8238 1
O4 O 0.8850 0.7088 0.5938 1
# - crystal system = tetragonal
# - V (A^3/atom) = 14.54
# - magnetization (μB/f.u.) = 0.00
# - raw formation energy (eV/atom) = -2.548

---

Record 3
# SiAg2C | Alexandria via LeMat-Bulk | PBE | optimized geometry
data_SiAg2C
_chemical_formula_sum 'Si2 Ag4 C2'
_cell_length_a 8.4659
_cell_length_b 8.4659
_cell_length_c 8.4659
_cell_angle_alpha 152.92
_cell_angle_beta 152.92
_cell_angle_gamma 38.67
_space_group_name_H-M_alt 'P 1'
_space_group_IT_number 1
_space_group_name_Hall 'P 1'
loop_
_atom_site_label
_atom_site_type_symbol
_atom_site_fract_x
_atom_site_fract_y
_atom_site_fract_z
_atom_site_occupancy
Si1 Si 0.0000 0.0000 0.0000 1
Si2 Si 0.7500 0.2500 0.5000 1
Ag1 Ag 0.1445 0.6250 0.0195 1
Ag2 Ag 0.3750 0.3945 0.5195 1
Ag3 Ag 0.6055 0.1250 0.9805 1
Ag4 Ag 0.8750 0.8555 0.4805 1
C1 C 0.2500 0.7500 0.5000 1
C2 C 0.5000 0.5000 0.0000 1
# - energy above the most stable polymorph in this dataset (eV per atom) = 0.000
# - crystal system = tetragonal
# - V (A^3/atom) = 15.69
# - magnetization (μB/f.u.) = 0.00
# - raw formation energy (eV/atom) = 1.370

---

Record 4
# YPAuO2 | Alexandria via LeMat-Bulk | PBE | optimized geometry
data_YPAuO2
_chemical_formula_sum 'Y1 P1 Au1 O2'
_cell_length_a 4.1456
_cell_length_b 4.1456
_cell_length_c 4.8008
_cell_angle_alpha 90.00
_cell_angle_beta 90.00
_cell_angle_gamma 90.00
_space_group_name_H-M_alt 'P 1'
_space_group_IT_number 1
_space_group_name_Hall 'P 1'
loop_
_atom_site_label
_atom_site_type_symbol
_atom_site_fract_x
_atom_site_fract_y
_atom_site_fract_z
_atom_site_occupancy
Y1 Y 0.0000 0.0000 0.0000 1
P1 P 0.5000 0.5000 0.0000 1
Au1 Au 0.5000 0.5000 0.5000 1
O1 O 0.0000 0.5000 0.5000 1
O2 O 0.5000 0.0000 0.5000 1
# - energy above the most stable polymorph in this dataset (eV per atom) = 0.088
# - crystal system = tetragonal
# - V (A^3/atom) = 16.50
# - magnetization (μB/f.u.) = 0.00
# - raw formation energy (eV/atom) = -0.488

---

Record 5
# SrGaBr2 | Alexandria via LeMat-Bulk | PBE | optimized geometry
data_SrGaBr2
_chemical_formula_sum 'Sr1 Ga1 Br2'
_cell_length_a 5.4897
_cell_length_b 5.4897
_cell_length_c 5.4897
_cell_angle_alpha 60.00
_cell_angle_beta 60.00
_cell_angle_gamma 60.00
_space_group_name_H-M_alt 'P 1'
_space_group_IT_number 1
_space_group_name_Hall 'P 1'
loop_
_atom_site_label
_atom_site_type_symbol
_atom_site_fract_x
_atom_site_fract_y
_atom_site_fract_z
_atom_site_occupancy
Sr1 Sr 0.0000 0.0000 0.0000 1
Ga1 Ga 0.5000 0.5000 0.5000 1
Br1 Br 0.2500 0.2500 0.2500 1
Br2 Br 0.7500 0.7500 0.7500 1
# - energy above the most stable polymorph in this dataset (eV per atom) = 0.106
# - crystal system = cubic
# - V (A^3/atom) = 29.25
# - magnetization (μB/f.u.) = 0.00
# - raw formation energy (eV/atom) = -1.045

---

Record 6
# Ba4TlRu3O12 | Alexandria via LeMat-Bulk | PBE | optimized geometry
data_Ba4TlRu3O12
_chemical_formula_sum 'Ba4 Tl1 Ru3 O12'
_cell_length_a 7.2018
_cell_length_b 7.2018
_cell_length_c 7.2018
_cell_angle_alpha 109.47
_cell_angle_beta 109.47
_cell_angle_gamma 109.47
_space_group_name_H-M_alt 'P 1'
_space_group_IT_number 1
_space_group_name_Hall 'P 1'
loop_
_atom_site_label
_atom_site_type_symbol
_atom_site_fract_x
_atom_site_fract_y
_atom_site_fract_z
_atom_site_occupancy
Ba1 Ba 0.0000 0.0000 0.5000 1
Ba2 Ba 0.0000 0.5000 0.0000 1
Ba3 Ba 0.5000 0.0000 0.0000 1
Ba4 Ba 0.5000 0.5000 0.5000 1
Tl1 Tl 0.0000 0.0000 0.0000 1
Ru1 Ru 0.0000 0.5000 0.5000 1
Ru2 Ru 0.5000 0.0000 0.5000 1
Ru3 Ru 0.5000 0.5000 0.0000 1
O1 O 0.0000 0.2650 0.2650 1
O2 O 0.0000 0.7350 0.7350 1
O3 O 0.2500 0.5000 0.7500 1
O4 O 0.2500 0.7500 0.5000 1
O5 O 0.2650 0.0000 0.2650 1
O6 O 0.2650 0.2650 0.0000 1
O7 O 0.5000 0.2500 0.7500 1
O8 O 0.5000 0.7500 0.2500 1
O9 O 0.7350 0.0000 0.7350 1
O10 O 0.7350 0.7350 0.0000 1
O11 O 0.7500 0.2500 0.5000 1
O12 O 0.7500 0.5000 0.2500 1
# - crystal system = cubic
# - V (A^3/atom) = 14.38
# - magnetization (μB/f.u.) = 8.09
# - raw formation energy (eV/atom) = -1.630

---

Record 7
# Zn2AsP | Alexandria via LeMat-Bulk | PBE | optimized geometry
data_Zn2AsP
_chemical_formula_sum 'Zn2 As1 P1'
_cell_length_a 4.5516
_cell_length_b 4.5516
_cell_length_c 4.5516
_cell_angle_alpha 60.00
_cell_angle_beta 60.00
_cell_angle_gamma 60.00
_space_group_name_H-M_alt 'P 1'
_space_group_IT_number 1
_space_group_name_Hall 'P 1'
loop_
_atom_site_label
_atom_site_type_symbol
_atom_site_fract_x
_atom_site_fract_y
_atom_site_fract_z
_atom_site_occupancy
Zn1 Zn 0.0000 0.0000 0.0000 1
Zn2 Zn 0.2500 0.2500 0.2500 1
As1 As 0.5000 0.5000 0.5000 1
P1 P 0.7500 0.7500 0.7500 1
# - energy above the most stable polymorph in this dataset (eV per atom) = 0.355
# - crystal system = cubic
# - V (A^3/atom) = 16.67
# - magnetization (μB/f.u.) = 0.00
# - formation enthalpy at 0 K (meV/atom) = 410.4

---

Record 8
# LaTlInPd | Alexandria via LeMat-Bulk | PBE | optimized geometry
data_LaTlInPd
_chemical_formula_sum 'La1 Tl1 In1 Pd1'
_cell_length_a 5.1839
_cell_length_b 5.1839
_cell_length_c 5.1839
_cell_angle_alpha 60.00
_cell_angle_beta 60.00
_cell_angle_gamma 60.00
_space_group_name_H-M_alt 'P 1'
_space_group_IT_number 1
_space_group_name_Hall 'P 1'
loop_
_atom_site_label
_atom_site_type_symbol
_atom_site_fract_x
_atom_site_fract_y
_atom_site_fract_z
_atom_site_occupancy
La1 La 0.0000 0.0000 0.0000 1
Tl1 Tl 0.7500 0.7500 0.7500 1
In1 In 0.5000 0.5000 0.5000 1
Pd1 Pd 0.2500 0.2500 0.2500 1
# - crystal system = cubic
# - V (A^3/atom) = 24.63
# - magnetization (μB/f.u.) = 0.00
# - formation enthalpy at 0 K (meV/atom) = -477.4

---

Record 9
# LaTe2Pd | Alexandria via LeMat-Bulk | PBE | optimized geometry
data_LaTe2Pd
_chemical_formula_sum 'La2 Te4 Pd2'
_cell_length_a 9.1056
_cell_length_b 9.1056
_cell_length_c 9.1056
_cell_angle_alpha 142.67
_cell_angle_beta 142.67
_cell_angle_gamma 53.83
_space_group_name_H-M_alt 'P 1'
_space_group_IT_number 1
_space_group_name_Hall 'P 1'
loop_
_atom_site_label
_atom_site_type_symbol
_atom_site_fract_x
_atom_site_fract_y
_atom_site_fract_z
_atom_site_occupancy
La1 La 0.0000 0.0000 0.0000 1
La2 La 0.7500 0.2500 0.5000 1
Te1 Te 0.1921 0.6250 0.0671 1
Te2 Te 0.3750 0.4421 0.5671 1
Te3 Te 0.5579 0.1250 0.9329 1
Te4 Te 0.8750 0.8079 0.4329 1
Pd1 Pd 0.2500 0.7500 0.5000 1
Pd2 Pd 0.5000 0.5000 0.0000 1
# - energy above the most stable polymorph in this dataset (eV per atom) = 0.051
# - crystal system = tetragonal
# - V (A^3/atom) = 34.48
# - magnetization (μB/f.u.) = 0.00
# - raw formation energy (eV/atom) = -0.738

---

Record 10
# CsRbZnGeTeH | Alexandria via LeMat-Bulk | PBE | optimized geometry
data_CsRbZnGeTeH
_chemical_formula_sum 'Cs1 Rb1 Zn1 Ge1 Te1 H1'
_cell_length_a 4.5796
_cell_length_b 5.1851
_cell_length_c 8.7992
_cell_angle_alpha 90.00
_cell_angle_beta 90.00
_cell_angle_gamma 90.00
_space_group_name_H-M_alt 'P 1'
_space_group_IT_number 1
_space_group_name_Hall 'P 1'
loop_
_atom_site_label
_atom_site_type_symbol
_atom_site_fract_x
_atom_site_fract_y
_atom_site_fract_z
_atom_site_occupancy
Cs1 Cs 0.0000 0.0000 0.0000 1
Rb1 Rb 0.5000 0.0000 0.5501 1
Zn1 Zn 0.0000 0.5000 0.3687 1
Ge1 Ge 0.5000 0.5000 0.2527 1
Te1 Te 0.0000 0.5000 0.6662 1
H1 H 0.5000 0.5000 0.0695 1
# - energy above the most stable polymorph in this dataset (eV per atom) = 0.014
# - crystal system = orthorhombic
# - V (A^3/atom) = 34.82
# - magnetization (μB/f.u.) = 0.00

---

Which of these has the lowest V?
Ba4TlRu3O12